# Zr2InCu GGA-PBEsol optimized geometry
# DOS at the Fermi energy in states/eV/f.u.: 3.48
# Uncorrected energy in eV/atom: -6.1547
data_Zr2InCu
_chemical_formula_sum 'Zr8 In4 Cu4'
_space_group_name_H-M_alt 'F -4 3 m'
_space_group_IT_number 216
_space_group_name_Hall 'F -4 2 3'
_cell_length_a 6.806
_cell_length_b 6.806
_cell_length_c 6.806
_cell_angle_alpha 90.00
_cell_angle_beta 90.00
_cell_angle_gamma 90.00
loop_
_atom_site_label
_atom_site_type_symbol
_atom_site_fract_x
_atom_site_fract_y
_atom_site_fract_z
Zr1 Zr 0.000 0.000 0.000
Zr2 Zr 0.250 0.250 0.250
In1 In 0.000 0.000 0.500
Cu1 Cu 0.250 0.250 0.750